1.
# CaRePS2 PBE-GGA relaxed
# D(E_F)	4.194	states/eV per cell
# formation energy without anion corrections	1.46	eV/atom
# energy relative to the lowest polymorph listed for this composition	1747	meV per atom
# DFT total energy	-4.168	eV per atom
# spin magnetization	2.657	μB per formula unit
data_CaRePS2
_chemical_formula_sum 'Ca1 Re1 P1 S2'
_cell_length_a 5.065
_cell_length_b 5.065
_cell_length_c 5.290
_cell_angle_alpha 90.00
_cell_angle_beta 90.00
_cell_angle_gamma 90.00
_space_group_name_H-M_alt 'P 1'
_space_group_IT_number 1
_space_group_name_Hall 'P 1'
loop_
_atom_site_label
_atom_site_type_symbol
_atom_site_fract_x
_atom_site_fract_y
_atom_site_fract_z
_atom_site_occupancy
Ca1 Ca 0.000 0.000 0.000 1
Re1 Re 0.500 0.500 0.500 1
P1 P 0.000 0.000 0.500 1
S1 S 0.000 0.500 0.000 1
S2 S 0.500 0.000 0.000 1

---

2.
# CaZnReP2 PBE-GGA relaxed
# D(E_F)	4.443	states/eV per cell
# DFT total energy	-4.355	eV per atom
# energy of formation from the pure elements	22.0	kcal/mol of atoms
# spin magnetization	1.905	μB per formula unit
data_CaZnReP2
_chemical_formula_sum 'Ca1 Zn1 Re1 P2'
_cell_length_a 4.696
_cell_length_b 4.696
_cell_length_c 4.784
_cell_angle_alpha 90.00
_cell_angle_beta 90.00
_cell_angle_gamma 90.00
_space_group_name_H-M_alt 'P 1'
_space_group_IT_number 1
_space_group_name_Hall 'P 1'
loop_
_atom_site_label
_atom_site_type_symbol
_atom_site_fract_x
_atom_site_fract_y
_atom_site_fract_z
_atom_site_occupancy
Ca1 Ca 0.000 0.000 0.000 1
Zn1 Zn 0.500 0.500 0.500 1
Re1 Re 0.500 0.500 0.000 1
P1 P 0.000 0.500 0.500 1
P2 P 0.500 0.000 0.500 1

---

3.
# CaPRh2 PBE-GGA relaxed
# D(E_F)	1.980	states/eV per cell
# DFT total energy	-6.058	eV per atom
# energy of formation from the pure elements	-12.2	kcal/mol of atoms
# spin magnetization	0.000	μB per formula unit
data_CaPRh2
_chemical_formula_sum 'Ca1 P1 Rh2'
_cell_length_a 5.064
_cell_length_b 5.064
_cell_length_c 5.064
_cell_angle_alpha 139.98
_cell_angle_beta 119.22
_cell_angle_gamma 75.29
_space_group_name_H-M_alt 'P 1'
_space_group_IT_number 1
_space_group_name_Hall 'P 1'
loop_
_atom_site_label
_atom_site_type_symbol
_atom_site_fract_x
_atom_site_fract_y
_atom_site_fract_z
_atom_site_occupancy
Ca1 Ca 0.000 0.000 0.000 1
P1 P 0.500 0.500 0.000 1
Rh1 Rh 0.318 0.818 0.500 1
Rh2 Rh 0.682 0.182 0.500 1

---

4.
# CaPRh2 PBE-GGA relaxed
# D(E_F)	2.603	states/eV per cell
# DFT total energy	-5.802	eV per atom
# energy of formation from the pure elements	-6.3	kcal/mol of atoms
# spin magnetization	0.000	μB per formula unit
data_CaPRh2
_chemical_formula_sum 'Ca1 P1 Rh2'
_cell_length_a 5.105
_cell_length_b 5.105
_cell_length_c 5.105
_cell_angle_alpha 136.03
_cell_angle_beta 136.03
_cell_angle_gamma 63.93
_space_group_name_H-M_alt 'P 1'
_space_group_IT_number 1
_space_group_name_Hall 'P 1'
loop_
_atom_site_label
_atom_site_type_symbol
_atom_site_fract_x
_atom_site_fract_y
_atom_site_fract_z
_atom_site_occupancy
Ca1 Ca 0.000 0.000 0.000 1
P1 P 0.250 0.750 0.500 1
Rh1 Rh 0.500 0.500 0.000 1
Rh2 Rh 0.750 0.250 0.500 1

---

5.
# CaP4Rh PBE-GGA relaxed
# D(E_F)	3.697	states/eV per cell
# energy relative to the lowest polymorph listed for this composition	507	meV per atom
# DFT total energy	-5.021	eV per atom
# energy of formation from the pure elements	3.3	kcal/mol of atoms
# spin magnetization	0.000	μB per formula unit
data_CaP4Rh
_chemical_formula_sum 'Ca1 P4 Rh1'
_cell_length_a 5.196
_cell_length_b 5.196
_cell_length_c 5.196
_cell_angle_alpha 60.00
_cell_angle_beta 60.00
_cell_angle_gamma 60.00
_space_group_name_H-M_alt 'P 1'
_space_group_IT_number 1
_space_group_name_Hall 'P 1'
loop_
_atom_site_label
_atom_site_type_symbol
_atom_site_fract_x
_atom_site_fract_y
_atom_site_fract_z
_atom_site_occupancy
Ca1 Ca 0.000 0.000 0.000 1
P1 P 0.152 0.616 0.616 1
P2 P 0.616 0.152 0.616 1
P3 P 0.616 0.616 0.152 1
P4 P 0.616 0.616 0.616 1
Rh1 Rh 0.250 0.250 0.250 1

---

6.
# CaPRh2 PBE-GGA relaxed
# D(E_F)	3.526	states/eV per cell
# DFT total energy	-5.933	eV per atom
# energy of formation from the pure elements	-9.3	kcal/mol of atoms
# spin magnetization	0.000	μB per formula unit
data_CaPRh2
_chemical_formula_sum 'Ca1 P1 Rh2'
_cell_length_a 5.497
_cell_length_b 5.497
_cell_length_c 5.497
_cell_angle_alpha 146.75
_cell_angle_beta 133.21
_cell_angle_gamma 58.61
_space_group_name_H-M_alt 'P 1'
_space_group_IT_number 1
_space_group_name_Hall 'P 1'
loop_
_atom_site_label
_atom_site_type_symbol
_atom_site_fract_x
_atom_site_fract_y
_atom_site_fract_z
_atom_site_occupancy
Ca1 Ca 0.000 0.000 0.000 1
P1 P 0.260 0.760 0.500 1
Rh1 Rh 0.435 0.435 0.000 1
Rh2 Rh 0.718 0.218 0.500 1

---

> Which of these has the highest D(E_F)?

CaZnReP2

---

> Which value of spin magnetization does entry 6 give?

0.000 μB per formula unit

---

> What is the D(E_F) in the fifth record?

3.697 states/eV per cell

---

> Which formula does entry 5 have?

CaP4Rh